Entry 1:
Computed, not measured: a crystal of Na3Pd5F12 relaxed with PBEsol at the SCAN level of DFT.

abc: 6.723 6.936 7.313
angles: 118.31 107.19 90.00
Site moments in Bohr magnetons follow the coordinates.
Positions (direct):
Na (0.000, 0.000, 0.000)  0.00
Na (0.500, 0.741, 0.000)  0.00
Na (0.500, 0.259, 0.000)  0.00
F (0.458, 0.608, 0.216)  0.00
F (0.542, 0.392, 0.784)  0.00
F (0.838, 0.789, 0.578)  0.09
F (0.110, 0.218, 0.852)  0.05
F (0.162, 0.211, 0.422)  0.09
F (0.231, 0.760, 0.520)  0.08
F (0.110, 0.633, 0.852)  0.05
F (0.890, 0.782, 0.148)  0.05
F (0.378, 0.069, 0.139)  0.00
F (0.769, 0.240, 0.480)  0.08
F (0.890, 0.367, 0.148)  0.05
F (0.622, 0.931, 0.861)  0.00
Pd (0.000, 0.500, 0.500)  1.26
Pd (0.531, 0.769, 0.537)  -0.04
Pd (0.000, 0.000, 0.500)  1.26
Pd (0.469, 0.231, 0.463)  -0.04
Pd (0.000, 0.500, 0.000)  0.06

Properties
E_form (uncorrected) ... -171.54 kJ per mole of atoms
E ... -12.728 eV/atom
Volume ... 14.138 Å³/atom


Entry 2:
Computed, not measured: a crystal of Cs2BaSiW relaxed with PBEsol at the SCAN level of DFT.

abc: 5.262 6.793 6.793
angles: 90.00 90.00 90.00
Site moments in Bohr magnetons follow the coordinates.
Positions (direct):
Ba (0.000, 0.000, 0.000)  0.07
Cs (0.000, 0.500, 0.000)  -0.01
Cs (0.000, 0.000, 0.500)  -0.01
W (0.500, 0.000, 0.000)  1.83
Si (0.500, 0.500, 0.500)  -0.54

Properties
E_form (uncorrected) ... 193.11 kJ per mole of atoms
E ... -36.974 eV/atom
Volume ... 48.559 Å³/atom